# Zn2SiSe | Alexandria | GGA-PBE | relaxed
data_Zn2SiSe
_chemical_formula_sum 'Zn2 Si1 Se1'
_cell_length_a 3.857
_cell_length_b 3.853
_cell_length_c 5.101
_cell_angle_alpha 90.00
_cell_angle_beta 90.20
_cell_angle_gamma 90.00
_space_group_name_H-M_alt 'P 1 2/m 1'
_space_group_IT_number 10
loop_
_space_group_symop_operation_xyz
'x,y,z'
'-x,-y,-z'
'-x,y,-z'
'x,-y,z'
loop_
_atom_site_label
_atom_site_fract_x
_atom_site_fract_y
_atom_site_fract_z
Zn1 0.000 0.000 0.000
Zn2 0.500 0.500 0.000
Si1 0.000 0.000 0.500
Se1 0.500 0.500 0.500
# - formation energy (no corrections) (eV/atom) = 0.160
# - raw total energy (eV per atom) = -2.70



# Zn2SiSe | Alexandria | GGA-PBE | relaxed
data_Zn2SiSe
_chemical_formula_sum 'Zn2 Si1 Se1'
_cell_length_a 2.745
_cell_length_b 2.745
_cell_length_c 9.473
_cell_angle_alpha 90.00
_cell_angle_beta 90.00
_cell_angle_gamma 90.00
_space_group_name_H-M_alt 'P 4 m m'
_space_group_IT_number 99
loop_
_space_group_symop_operation_xyz
'x,y,z'
'-y,x,z'
'-x,-y,z'
'y,-x,z'
'-x,y,z'
'y,x,z'
'x,-y,z'
'-y,-x,z'
loop_
_atom_site_label
_atom_site_fract_x
_atom_site_fract_y
_atom_site_fract_z
Zn1 0.000 0.000 0.000
Zn2 0.500 0.500 0.206
Si1 0.500 0.500 0.791
Se1 0.000 0.000 0.465
# - formation energy (no corrections) (eV/atom) = 0.295
# - raw total energy (eV per atom) = -2.57



# Zn2SiSe | Alexandria | GGA-PBE | relaxed
data_Zn2SiSe
_chemical_formula_sum 'Zn6 Si3 Se3'
_cell_length_a 2.7198
_cell_length_b 2.7198
_cell_length_c 33.5292
_cell_angle_alpha 90.00
_cell_angle_beta 90.00
_cell_angle_gamma 120.00
_space_group_name_H-M_alt 'R -3 m'
_space_group_IT_number 166
_space_group_name_Hall '-R 3 2"'
loop_
_atom_site_label
_atom_site_fract_x
_atom_site_fract_y
_atom_site_fract_z
Zn1 0.0000 0.0000 0.2418
Si1 0.0000 0.0000 0.5000
Se1 0.0000 0.0000 0.0000
# - formation energy (no corrections) (eV/atom) = 0.284
# - raw total energy (eV per atom) = -2.58



# Zn2SiSe | Alexandria | GGA-PBE | relaxed
data_Zn2SiSe
_chemical_formula_sum 'Zn8 Si4 Se4'
_cell_length_a 6.604
_cell_length_b 6.604
_cell_length_c 6.604
_cell_angle_alpha 90.00
_cell_angle_beta 90.00
_cell_angle_gamma 90.00
_space_group_name_H-M_alt 'F -4 3 m'
_space_group_IT_number 216
_space_group_name_Hall 'F -4 2 3'
loop_
_atom_site_label
_atom_site_fract_x
_atom_site_fract_y
_atom_site_fract_z
Zn1 0.000 0.000 0.000
Zn2 0.250 0.250 0.250
Si1 0.000 0.000 0.500
Se1 0.250 0.250 0.750
# - formation energy (no corrections) (eV/atom) = 0.428
# - raw total energy (eV per atom) = -2.44



# Zn3SiSe | Alexandria | GGA-PBE | relaxed
data_Zn3SiSe
_chemical_formula_sum 'Zn3 Si1 Se1'
_cell_length_a 4.719
_cell_length_b 4.719
_cell_length_c 4.719
_cell_angle_alpha 90.00
_cell_angle_beta 90.00
_cell_angle_gamma 90.00
_space_group_name_H-M_alt 'P m -3 m'
_space_group_IT_number 221
_space_group_name_Hall '-P 4 2 3'
loop_
_atom_site_label
_atom_site_fract_x
_atom_site_fract_y
_atom_site_fract_z
Zn1 0.000 0.000 0.500
Si1 0.000 0.000 0.000
Se1 0.500 0.500 0.500
# - formation energy (no corrections) (eV/atom) = 0.250
# - raw total energy (eV per atom) = -2.30



# Zn2SiSe | Alexandria | GGA-PBE | relaxed
data_Zn2SiSe
_chemical_formula_sum 'Zn2 Si1 Se1'
_cell_length_a 2.854
_cell_length_b 3.960
_cell_length_c 6.960
_cell_angle_alpha 90.00
_cell_angle_beta 90.00
_cell_angle_gamma 90.00
_space_group_name_H-M_alt 'P m m 2'
_space_group_IT_number 25
loop_
_space_group_symop_operation_xyz
'x,y,z'
'-x,-y,z'
'-x,y,z'
'x,-y,z'
loop_
_atom_site_label
_atom_site_fract_x
_atom_site_fract_y
_atom_site_fract_z
Zn1 0.000 0.000 0.000
Zn2 0.500 0.500 0.239
Si1 0.500 0.500 0.870
Se1 0.000 0.000 0.427
# - formation energy (no corrections) (eV/atom) = 0.172
# - raw total energy (eV per atom) = -2.69



# Zn2SiSe | Alexandria | GGA-PBE | relaxed
data_Zn2SiSe
_chemical_formula_sum 'Zn4 Si2 Se2'
_cell_length_a 12.057
_cell_length_b 2.602
_cell_length_c 5.123
_cell_angle_alpha 90.00
_cell_angle_beta 113.93
_cell_angle_gamma 90.00
_space_group_name_H-M_alt 'C 1 2/m 1'
_space_group_IT_number 12
loop_
_space_group_symop_operation_xyz
'x,y,z'
'-x,-y,-z'
'-x,y,-z'
'x,-y,z'
'x+1/2,y+1/2,z'
'-x+1/2,-y+1/2,-z'
'-x+1/2,y+1/2,-z'
'x+1/2,-y+1/2,z'
loop_
_atom_site_label
_atom_site_fract_x
_atom_site_fract_y
_atom_site_fract_z
Zn1 0.217 0.000 0.221
Si1 0.000 0.500 0.000
Se1 0.000 0.000 0.500
# - formation energy (no corrections) (eV/atom) = 0.267
# - raw total energy (eV per atom) = -2.60



# ZnSiSe3 | Alexandria | GGA-PBE | relaxed
data_ZnSiSe3
_chemical_formula_sum 'Zn8 Si8 Se24'
_cell_length_a 13.215
_cell_length_b 13.204
_cell_length_c 6.558
_cell_angle_alpha 90.00
_cell_angle_beta 115.05
_cell_angle_gamma 90.00
_space_group_name_H-M_alt 'C 1 2/c 1'
_space_group_IT_number 15
loop_
_space_group_symop_operation_xyz
'x,y,z'
'-x,-y,-z'
'-x,y,-z+1/2'
'x,-y,z+1/2'
'x+1/2,y+1/2,z'
'-x+1/2,-y+1/2,-z'
'-x+1/2,y+1/2,-z+1/2'
'x+1/2,-y+1/2,z+1/2'
loop_
_atom_site_label
_atom_site_fract_x
_atom_site_fract_y
_atom_site_fract_z
Zn1 0.000 0.190 0.250
Zn2 0.000 0.213 0.750
Si1 0.209 0.420 0.260
Se1 0.100 0.082 0.601
Se2 0.137 0.443 0.523
Se3 0.141 0.259 0.127
# - formation energy (no corrections) (eV/atom) = -0.429
# - raw total energy (eV per atom) = -3.86



# ZnSiSe3 | Alexandria | GGA-PBE | relaxed
data_ZnSiSe3
_chemical_formula_sum 'Zn1 Si1 Se3'
_cell_length_a 4.846
_cell_length_b 4.846
_cell_length_c 4.846
_cell_angle_alpha 90.00
_cell_angle_beta 90.00
_cell_angle_gamma 90.00
_space_group_name_H-M_alt 'P m -3 m'
_space_group_IT_number 221
_space_group_name_Hall '-P 4 2 3'
loop_
_atom_site_label
_atom_site_fract_x
_atom_site_fract_y
_atom_site_fract_z
Zn1 0.000 0.000 0.000
Si1 0.500 0.500 0.500
Se1 0.000 0.500 0.500
# - formation energy (no corrections) (eV/atom) = 0.325
# - raw total energy (eV per atom) = -3.11



# Zn2SiSe | Alexandria | GGA-PBE | relaxed
data_Zn2SiSe
_chemical_formula_sum 'Zn8 Si4 Se4'
_cell_length_a 6.567
_cell_length_b 6.567
_cell_length_c 6.567
_cell_angle_alpha 90.00
_cell_angle_beta 90.00
_cell_angle_gamma 90.00
_space_group_name_H-M_alt 'F m -3 m'
_space_group_IT_number 225
_space_group_name_Hall '-F 4 2 3'
loop_
_atom_site_label
_atom_site_fract_x
_atom_site_fract_y
_atom_site_fract_z
Zn1 0.250 0.250 0.250
Si1 0.000 0.000 0.000
Se1 0.000 0.000 0.500
# - formation energy (no corrections) (eV/atom) = 0.419
# - raw total energy (eV per atom) = -2.45



# Zn2SiSe | Alexandria | GGA-PBE | relaxed
data_Zn2SiSe
_chemical_formula_sum 'Zn8 Si4 Se4'
_cell_length_a 5.945
_cell_length_b 5.945
_cell_length_c 10.340
_cell_angle_alpha 90.00
_cell_angle_beta 90.00
_cell_angle_gamma 90.00
_space_group_name_H-M_alt 'I -4 2 d'
_space_group_IT_number 122
_space_group_name_Hall 'I -4 2bw'
loop_
_atom_site_label
_atom_site_fract_x
_atom_site_fract_y
_atom_site_fract_z
Zn1 0.245 0.250 0.125
Si1 0.000 0.000 0.000
Se1 0.000 0.000 0.500
# - formation energy (no corrections) (eV/atom) = 0.059
# - raw total energy (eV per atom) = -2.80



# ZnSi4Se | Alexandria | GGA-PBE | relaxed
data_ZnSi4Se
_chemical_formula_sum 'Zn4 Si16 Se4'
_cell_length_a 7.385
_cell_length_b 7.385
_cell_length_c 7.385
_cell_angle_alpha 90.00
_cell_angle_beta 90.00
_cell_angle_gamma 90.00
_space_group_name_H-M_alt 'F -4 3 m'
_space_group_IT_number 216
_space_group_name_Hall 'F -4 2 3'
loop_
_atom_site_label
_atom_site_fract_x
_atom_site_fract_y
_atom_site_fract_z
Zn1 0.000 0.000 0.000
Si1 0.125 0.125 0.375
Se1 0.250 0.250 0.750
# - formation energy (no corrections) (eV/atom) = 0.541
# - raw total energy (eV per atom) = -3.87



# Zn2SiSe | Alexandria | GGA-PBE | relaxed
data_Zn2SiSe
_chemical_formula_sum 'Zn4 Si2 Se2'
_cell_length_a 5.449
_cell_length_b 7.246
_cell_length_c 4.180
_cell_angle_alpha 90.00
_cell_angle_beta 116.11
_cell_angle_gamma 90.00
_space_group_name_H-M_alt 'C 1 2/m 1'
_space_group_IT_number 12
loop_
_space_group_symop_operation_xyz
'x,y,z'
'-x,-y,-z'
'-x,y,-z'
'x,-y,z'
'x+1/2,y+1/2,z'
'-x+1/2,-y+1/2,-z'
'-x+1/2,y+1/2,-z'
'x+1/2,-y+1/2,z'
loop_
_atom_site_label
_atom_site_fract_x
_atom_site_fract_y
_atom_site_fract_z
Zn1 0.250 0.250 0.000
Si1 0.000 0.000 0.500
Se1 0.000 0.500 0.500
# - formation energy (no corrections) (eV/atom) = 0.169
# - raw total energy (eV per atom) = -2.69



# Zn2SiSe | Alexandria | GGA-PBE | relaxed
data_Zn2SiSe
_chemical_formula_sum 'Zn2 Si1 Se1'
_cell_length_a 2.758
_cell_length_b 3.531
_cell_length_c 7.200
_cell_angle_alpha 90.00
_cell_angle_beta 90.00
_cell_angle_gamma 90.00
_space_group_name_H-M_alt 'P m m m'
_space_group_IT_number 47
loop_
_space_group_symop_operation_xyz
'x,y,z'
'-x,-y,-z'
'-x,-y,z'
'x,y,-z'
'x,-y,-z'
'-x,y,z'
'-x,y,-z'
'x,-y,z'
loop_
_atom_site_label
_atom_site_fract_x
_atom_site_fract_y
_atom_site_fract_z
Zn1 0.000 0.000 0.222
Si1 0.500 0.500 0.000
Se1 0.000 0.500 0.500
# - formation energy (no corrections) (eV/atom) = 0.085
# - raw total energy (eV per atom) = -2.78



# Zn2SiSe | Alexandria | GGA-PBE | relaxed
data_Zn2SiSe
_chemical_formula_sum 'Zn6 Si3 Se3'
_cell_length_a 2.7278
_cell_length_b 2.7278
_cell_length_c 33.3467
_cell_angle_alpha 90.00
_cell_angle_beta 90.00
_cell_angle_gamma 120.00
_space_group_name_H-M_alt 'R 3 m'
_space_group_IT_number 160
_space_group_name_Hall 'R 3 -2"'
loop_
_atom_site_label
_atom_site_fract_x
_atom_site_fract_y
_atom_site_fract_z
Zn1 0.0000 0.0000 0.0000
Zn2 0.0000 0.0000 0.2551
Si1 0.0000 0.0000 0.5189
Se1 0.0000 0.0000 0.7557
# - formation energy (no corrections) (eV/atom) = 0.293
# - raw total energy (eV per atom) = -2.57



# Zn2SiSe | Alexandria | GGA-PBE | relaxed
data_Zn2SiSe
_chemical_formula_sum 'Zn4 Si2 Se2'
_cell_length_a 3.764
_cell_length_b 3.764
_cell_length_c 10.654
_cell_angle_alpha 90.00
_cell_angle_beta 90.00
_cell_angle_gamma 90.00
_space_group_name_H-M_alt 'I 4/m m m'
_space_group_IT_number 139
_space_group_name_Hall '-I 4 2'
loop_
_atom_site_label
_atom_site_fract_x
_atom_site_fract_y
_atom_site_fract_z
Zn1 0.000 0.500 0.250
Si1 0.000 0.000 0.000
Se1 0.000 0.000 0.500
# - formation energy (no corrections) (eV/atom) = 0.280
# - raw total energy (eV per atom) = -2.58



# Zn2SiSe | Alexandria | GGA-PBE | relaxed
data_Zn2SiSe
_chemical_formula_sum 'Zn2 Si1 Se1'
_cell_length_a 3.553
_cell_length_b 3.553
_cell_length_c 5.554
_cell_angle_alpha 90.00
_cell_angle_beta 90.00
_cell_angle_gamma 90.00
_space_group_name_H-M_alt 'P 4/m m m'
_space_group_IT_number 123
_space_group_name_Hall '-P 4 2'
loop_
_atom_site_label
_atom_site_fract_x
_atom_site_fract_y
_atom_site_fract_z
Zn1 0.000 0.000 0.235
Si1 0.500 0.500 0.000
Se1 0.500 0.500 0.500
# - formation energy (no corrections) (eV/atom) = 0.256
# - raw total energy (eV per atom) = -2.61



# Zn2SiSe | Alexandria | GGA-PBE | relaxed
data_Zn2SiSe
_chemical_formula_sum 'Zn4 Si2 Se2'
_cell_length_a 3.420
_cell_length_b 3.985
_cell_length_c 10.872
_cell_angle_alpha 90.00
_cell_angle_beta 90.00
_cell_angle_gamma 90.00
_space_group_name_H-M_alt 'I m m 2'
_space_group_IT_number 44
loop_
_space_group_symop_operation_xyz
'x,y,z'
'-x,-y,z'
'-x,y,z'
'x,-y,z'
'x+1/2,y+1/2,z+1/2'
'-x+1/2,-y+1/2,z+1/2'
'-x+1/2,y+1/2,z+1/2'
'x+1/2,-y+1/2,z+1/2'
loop_
_atom_site_label
_atom_site_fract_x
_atom_site_fract_y
_atom_site_fract_z
Zn1 0.000 0.000 0.000
Zn2 0.000 0.500 0.164
Si1 0.000 0.000 0.457
Se1 0.000 0.500 0.778
# - formation energy (no corrections) (eV/atom) = 0.165
# - raw total energy (eV per atom) = -2.70



# Zn2SiSe | Alexandria | GGA-PBE | relaxed
data_Zn2SiSe
_chemical_formula_sum 'Zn2 Si1 Se1'
_cell_length_a 2.688
_cell_length_b 3.555
_cell_length_c 7.347
_cell_angle_alpha 90.00
_cell_angle_beta 90.00
_cell_angle_gamma 90.00
_space_group_name_H-M_alt 'P m m 2'
_space_group_IT_number 25
loop_
_space_group_symop_operation_xyz
'x,y,z'
'-x,-y,z'
'-x,y,z'
'x,-y,z'
loop_
_atom_site_label
_atom_site_fract_x
_atom_site_fract_y
_atom_site_fract_z
Zn1 0.000 0.000 0.000
Zn2 0.500 0.500 0.217
Si1 0.000 0.000 0.452
Se1 0.000 0.500 0.706
# - formation energy (no corrections) (eV/atom) = 0.121
# - raw total energy (eV per atom) = -2.74



# Zn2SiSe | Alexandria | GGA-PBE | relaxed
data_Zn2SiSe
_chemical_formula_sum 'Zn4 Si2 Se2'
_cell_length_a 3.655
_cell_length_b 5.605
_cell_length_c 7.336
_cell_angle_alpha 90.00
_cell_angle_beta 90.00
_cell_angle_gamma 90.00
_space_group_name_H-M_alt 'C m m m'
_space_group_IT_number 65
_space_group_name_Hall '-C 2 2'
loop_
_atom_site_label
_atom_site_fract_x
_atom_site_fract_y
_atom_site_fract_z
Zn1 0.000 0.000 0.249
Si1 0.000 0.500 0.000
Se1 0.000 0.500 0.500
# - formation energy (no corrections) (eV/atom) = 0.245
# - raw total energy (eV per atom) = -2.62